Below is an optimized crystal structure of CsSe3S, with properties calculated at the GGA-PBE level.

Cell lengths 6.0414, 6.0414, 6.0414 Å; angles 90.00, 90.00, 90.00 degrees
Positions (direct):
Cs: 0.0000 0.0000 0.0000
Se: 0.0000 0.0000 0.5000
Se: 0.0000 0.5000 0.0000
Se: 0.5000 0.0000 0.0000
S: 0.5000 0.5000 0.5000

crystal system: cubic
N(E_F): 8.86 states/eV per cell
E_form (uncorrected): 1.45 eV per atom



Below is an optimized crystal structure of Cs2SeS2, with properties calculated at the GGA-PBE level.

Cell lengths 8.6173, 6.6504, 14.0638 Å; angles 90.00, 90.00, 90.00 degrees
Positions (direct):
Cs: 0.0638 0.2500 0.2049
Cs: 0.1563 0.7500 0.4370
Cs: 0.3437 0.2500 0.9370
Cs: 0.4362 0.7500 0.7049
Cs: 0.5638 0.2500 0.2951
Cs: 0.6563 0.7500 0.0630
Cs: 0.8437 0.2500 0.5630
Cs: 0.9362 0.7500 0.7951
Se: 0.1492 0.7500 0.0689
Se: 0.3508 0.2500 0.5689
Se: 0.6492 0.7500 0.4311
Se: 0.8508 0.2500 0.9311
S: 0.1917 0.2500 0.6943
S: 0.2138 0.2500 0.4328
S: 0.2862 0.7500 0.9328
S: 0.3083 0.7500 0.1943
S: 0.6917 0.2500 0.8057
S: 0.7138 0.2500 0.0672
S: 0.7862 0.7500 0.5672
S: 0.8083 0.7500 0.3057

crystal system: orthorhombic
E_form (uncorrected): -0.78 eV per atom



Number 1: VASP energy -8.18 eV/cell, magnetic moment 5.526 μB/f.u.. Number 2: VASP energy -69.41 eV/cell, magnetic moment 0.000 μB/f.u..